Record 1
VASP calculation (GGA-PBE) on a geometry-optimized Pm3Dy6Pu structure.

abc: 9.8364 9.8364 6.8733
angles: 44.31 44.31 60.00
Last column: nearest neighbours and their distance in Å.
Sites, in units of the cell vectors:
1 Pm 0.3904 0.3904 0.8288  2 Pm 2.95-3.03, 3 Dy 3.27
2 Pm 0.6440 0.6440 0.0679  1 Pu 2.85, 1 Pm 2.95
3 Pm 0.1297 0.1297 0.6110  1 Pu 2.79, 1 Pm 3.03
4 Dy 0.9087 0.5840 0.2817  1 Pu 3.16, 1 Pm 3.46
5 Dy 0.2256 0.9087 0.2817  1 Pu 3.16, 1 Pm 3.46
6 Dy 0.5840 0.2256 0.2817  1 Pu 3.16, 1 Pm 3.46
7 Dy 0.0752 0.4144 0.7715  3 Pm 3.27-3.45
8 Dy 0.7389 0.0752 0.7715  3 Pm 3.27-3.45
9 Dy 0.4144 0.7389 0.7715  3 Pm 3.27-3.45
10 Pu 0.8891 0.8891 0.3328  2 Pm 2.79-2.85

The calculation puts the calculated volume at 32.44 Å³ per atom. The crystal system is trigonal. The calculated formation energy is 0.26 eV per atom.

Record 2
VASP calculation (GGA-PBE) on a geometry-optimized Pm3Dy12Pu structure.

abc: 5.0267 5.0267 20.0679
angles: 90.00 90.00 90.00
Last column: nearest neighbours and their distance in Å.
Sites, in units of the cell vectors:
1 Pm 0.0000 0.0000 0.2477  12 Dy 3.55-3.58
2 Pm 0.0000 0.0000 0.5000  12 Dy 3.55-3.57
3 Pm 0.0000 0.0000 0.7523  12 Dy 3.55-3.58
4 Dy 0.5000 0.5000 0.0000  8 Dy 3.49, 4 Pu 3.55
5 Dy 0.5000 0.5000 0.2481  4 Pm 3.55, 8 Dy 3.56-3.59
6 Dy 0.5000 0.5000 0.5000  4 Pm 3.55, 8 Dy 3.57
7 Dy 0.5000 0.5000 0.7519  4 Pm 3.55, 8 Dy 3.56-3.59
8 Dy 0.5000 0.0000 0.1207  8 Dy 3.49-3.59, 2 Pu 3.49, 2 Pm 3.58
9 Dy 0.5000 0.0000 0.3737  8 Dy 3.55-3.57, 4 Pm 3.56-3.57
10 Dy 0.5000 0.0000 0.6263  8 Dy 3.55-3.57, 4 Pm 3.56-3.57
11 Dy 0.5000 0.0000 0.8793  8 Dy 3.49-3.59, 2 Pu 3.49, 2 Pm 3.58
12 Dy 0.0000 0.5000 0.1207  8 Dy 3.49-3.59, 2 Pu 3.49, 2 Pm 3.58
13 Dy 0.0000 0.5000 0.3737  8 Dy 3.55-3.57, 4 Pm 3.56-3.57
14 Dy 0.0000 0.5000 0.6263  8 Dy 3.55-3.57, 4 Pm 3.56-3.57
15 Dy 0.0000 0.5000 0.8793  8 Dy 3.49-3.59, 2 Pu 3.49, 2 Pm 3.58
16 Pu 0.0000 0.0000 0.0000  12 Dy 3.49-3.55

The calculation puts the calculated volume at 31.69 Å³ per atom. The crystal system is tetragonal. The calculated formation energy is 0.04 eV per atom.

Record 3
VASP calculation (GGA-PBE) on a geometry-optimized Pm6Dy5Pu structure.

abc: 10.1789 10.1789 5.8430
angles: 106.67 106.67 124.64
Last column: nearest neighbours and their distance in Å.
Sites, in units of the cell vectors:
1 Dy 0.8145 0.1855 0.5000  8 Pm 3.49-3.79, 4 Dy 3.72-3.81
2 Dy 0.6791 0.3209 0.0000  8 Pm 3.54-3.76, 4 Dy 3.72-3.81
3 Dy 0.5000 0.5000 0.5000  8 Pm 3.31-3.50
4 Dy 0.3209 0.6791 0.0000  8 Pm 3.54-3.76, 4 Dy 3.72-3.81
5 Dy 0.1855 0.8145 0.5000  8 Pm 3.49-3.79, 4 Dy 3.72-3.81
6 Pu 0.0000 0.0000 0.0000  8 Pm 3.23-3.42
7 Pm 0.3901 0.0915 0.2411  1 Pu 3.23, 7 Dy 3.31-3.57, 1 Pm 3.58
8 Pm 0.9085 0.6099 0.7589  1 Pu 3.23, 7 Dy 3.31-3.57, 1 Pm 3.58
9 Pm 0.2400 0.2399 0.7400  2 Pu 3.42, 6 Dy 3.50-3.79, 1 Pm 3.57
10 Pm 0.7600 0.7601 0.2600  2 Pu 3.42, 6 Dy 3.50-3.79, 1 Pm 3.57
11 Pm 0.0915 0.3901 0.2411  1 Pu 3.23, 7 Dy 3.31-3.57, 1 Pm 3.58
12 Pm 0.6099 0.9085 0.7589  1 Pu 3.23, 7 Dy 3.31-3.57, 1 Pm 3.58

The calculation puts the calculated volume at 32.65 Å³ per atom. The crystal system is orthorhombic. The calculated formation energy is 0.12 eV per atom.

Record 4
VASP calculation (GGA-PBE) on a geometry-optimized PmDyPu structure.

abc: 3.3975 6.7084 9.0457
angles: 74.03 79.18 75.33
Last column: nearest neighbours and their distance in Å.
Sites, in units of the cell vectors:
1 Pu 0.3699 0.7672 0.4931  3 Dy 3.38-3.50, 2 Pm 3.39-3.41, 5 Pu 3.40-3.49
2 Pu 0.6301 0.2328 0.5069  3 Dy 3.38-3.50, 2 Pm 3.39-3.41, 5 Pu 3.40-3.49
3 Dy 0.8780 0.0722 0.1718  3 Pu 3.38-3.50, 5 Pm 3.40-3.62, 3 Dy 3.40
4 Dy 0.1220 0.9278 0.8282  3 Pu 3.38-3.50, 5 Pm 3.40-3.62, 3 Dy 3.40
5 Pm 0.6204 0.5991 0.1601  2 Pu 3.39-3.41, 5 Dy 3.40-3.62, 4 Pm 3.40-3.79
6 Pm 0.3796 0.4009 0.8399  2 Pu 3.39-3.41, 5 Dy 3.40-3.62, 4 Pm 3.40-3.79

The calculation puts the calculated volume at 31.70 Å³ per atom. As for the energy above the most stable polymorph in this dataset: 14.1 kJ per mole of atoms. The crystal system is monoclinic. The calculated formation energy is 0.27 eV per atom.

> Which value of calculated formation energy does entry 1 give?

0.26 eV per atom